(1)
Dy4BeCo3 after structural relaxation. Source: the Alexandria database, functional PBE.

The structure in POSCAR format:
```
Dy4BeCo3
1.0
3.867 0.000 0.000
0.000 3.962 0.000
0.000 0.000 10.437
Dy Be Co
4 1 3
Direct
0.000 0.000 0.000
0.000 0.500 0.496
0.500 0.000 0.715
0.500 0.500 0.215
0.000 0.500 0.804
0.000 0.000 0.296
0.500 0.000 0.416
0.500 0.500 0.907
```

## Properties
Space group: Pmm2, No. 25
V, Å³ per cell: 160


(2)
Dy3BeCo8 after structural relaxation. Source: the Alexandria database, functional PBE.

The structure in POSCAR format:
```
Dy3BeCo8
1.0
2.486 1.436 8.036
-2.486 1.436 8.036
0.000 -2.871 8.036
Dy Be Co
3 1 8
Direct
0.000 0.000 0.000
0.129 0.129 0.129
0.514 0.514 0.514
0.641 0.641 0.641
0.058 0.567 0.567
0.068 0.068 0.572
0.068 0.572 0.068
0.316 0.316 0.316
0.567 0.058 0.567
0.567 0.567 0.058
0.572 0.068 0.068
0.817 0.817 0.817
```

## Properties
Space group: R3m, No. 160
V, Å³ per cell: 172


(3)
DyBe6Co2 after structural relaxation. Source: the Alexandria database, functional PBE.

The structure in POSCAR format:
```
DyBe6Co2
1.0
-1.794 2.986 4.659
1.794 -2.986 4.659
1.794 2.986 -4.659
Dy Be Co
1 6 2
Direct
0.000 0.000 0.000
0.091 0.285 0.806
0.343 0.500 0.843
0.478 0.285 0.194
0.522 0.715 0.806
0.657 0.500 0.157
0.909 0.715 0.194
0.367 0.867 0.500
0.633 0.133 0.500
```

## Properties
Space group: Immm, No. 71
V, Å³ per cell: 100


(4)
Dy3BeCo3 after structural relaxation. Source: the Alexandria database, functional PBE.

The structure in POSCAR format:
```
Dy3BeCo3
1.0
5.128 -1.982 0.000
5.128 1.982 0.000
-4.910 0.000 12.344
Dy Be Co
6 2 6
Direct
0.033 0.033 0.385
0.106 0.106 0.922
0.251 0.251 0.233
0.749 0.749 0.767
0.894 0.894 0.078
0.967 0.967 0.615
0.256 0.256 0.601
0.744 0.744 0.399
0.332 0.332 0.465
0.400 0.400 0.920
0.446 0.446 0.763
0.554 0.554 0.237
0.600 0.600 0.080
0.668 0.668 0.535
```

## Properties
Space group: C2/m, No. 12
V, Å³ per cell: 251


(5)
Dy2BeCo after structural relaxation. Source: the Alexandria database, functional PBE.

The structure in POSCAR format:
```
Dy2BeCo
1.0
3.689 0.000 0.000
-1.844 3.195 0.000
0.000 0.000 27.070
Dy Be Co
6 3 3
Direct
0.000 0.000 0.110
0.000 0.000 0.890
0.333 0.667 0.556
0.333 0.667 0.777
0.667 0.333 0.223
0.667 0.333 0.444
0.000 0.000 0.000
0.333 0.667 0.667
0.667 0.333 0.333
0.000 0.000 0.500
0.333 0.667 0.167
0.667 0.333 0.833
```

## Properties
Space group: R-3m, No. 166
E above lowest polymorph, meV/atom: 804
V, Å³ per cell: 319


(6)
DyBe3Co3 after structural relaxation. Source: the Alexandria database, functional PBE.

The structure in POSCAR format:
```
DyBe3Co3
1.0
5.703 0.000 0.000
0.000 5.703 0.000
0.000 0.000 5.703
Dy Be Co
2 6 6
Direct
0.000 0.000 0.000
0.500 0.500 0.500
0.000 0.250 0.500
0.000 0.750 0.500
0.250 0.500 0.000
0.500 0.000 0.250
0.500 0.000 0.750
0.750 0.500 0.000
0.000 0.500 0.250
0.000 0.500 0.750
0.250 0.000 0.500
0.500 0.250 0.000
0.500 0.750 0.000
0.750 0.000 0.500
```

## Properties
Space group: Pm-3n, No. 223
V, Å³ per cell: 186


(7)
Dy2BeCo after structural relaxation. Source: the Alexandria database, functional PBE.

The structure in POSCAR format:
```
Dy2BeCo
1.0
3.379 0.000 0.000
0.000 3.379 0.000
0.000 0.000 6.723
Dy Be Co
2 1 1
Direct
0.000 0.000 0.245
0.000 0.000 0.755
0.500 0.500 0.500
0.500 0.500 0.000
```

## Properties
Space group: P4/mmm, No. 123
E above lowest polymorph, meV/atom: 135
V, Å³ per cell: 77


(8)
DyErBeCo after structural relaxation. Source: the Alexandria database, functional PBE.

The structure in POSCAR format:
```
DyErBeCo
1.0
6.700 0.000 0.000
0.000 6.700 0.000
0.000 0.000 6.700
Dy Er Be Co
4 4 4 4
Direct
0.000 0.000 0.000
0.000 0.500 0.500
0.500 0.000 0.500
0.500 0.500 0.000
0.000 0.000 0.500
0.000 0.500 0.000
0.500 0.000 0.000
0.500 0.500 0.500
0.250 0.250 0.750
0.250 0.750 0.250
0.750 0.250 0.250
0.750 0.750 0.750
0.250 0.250 0.250
0.250 0.750 0.750
0.750 0.250 0.750
0.750 0.750 0.250
```

## Properties
Space group: F-43m, No. 216
V, Å³ per cell: 301


(9)
DyBeGa2Co2 after structural relaxation. Source: the Alexandria database, functional PBE.

The structure in POSCAR format:
```
DyBeGa2Co2
1.0
4.038 0.000 0.000
0.000 4.038 0.000
0.000 0.000 5.438
Dy Be Ga Co
1 1 2 2
Direct
0.000 0.000 0.000
0.000 0.000 0.500
0.500 0.500 0.240
0.500 0.500 0.760
0.000 0.500 0.500
0.500 0.000 0.500
```

## Properties
Space group: P4/mmm, No. 123
V, Å³ per cell: 89


(10)
DyBeCoN after structural relaxation. Source: the Alexandria database, functional PBE.

The structure in POSCAR format:
```
DyBeCoN
1.0
3.469 0.000 0.000
0.000 3.469 0.000
0.000 0.000 8.267
Dy Be Co N
2 2 2 2
Direct
0.250 0.250 0.152
0.750 0.750 0.848
0.250 0.250 0.673
0.750 0.750 0.327
0.250 0.750 0.500
0.750 0.250 0.500
0.250 0.250 0.868
0.750 0.750 0.132
```

## Properties
Space group: P4/nmm, No. 129
ΔE_f (raw), eV/atom: -0.886
V, Å³ per cell: 100


(11)
Dy2BeCo6Si after structural relaxation. Source: the Alexandria database, functional PBE.

The structure in POSCAR format:
```
Dy2BeCo6Si
1.0
0.000 4.131 4.131
4.131 0.000 4.131
4.131 4.131 0.000
Dy Be Co Si
2 1 6 1
Direct
0.250 0.250 0.250
0.750 0.750 0.750
0.000 0.000 0.000
0.240 0.240 0.760
0.240 0.760 0.240
0.240 0.760 0.760
0.760 0.240 0.240
0.760 0.240 0.760
0.760 0.760 0.240
0.500 0.500 0.500
```

## Properties
Space group: Fm-3m, No. 225
ΔE_f (raw), eV/atom: -0.073
V, Å³ per cell: 141


(12)
TbDyBeCo after structural relaxation. Source: the Alexandria database, functional PBE.

The structure in POSCAR format:
```
TbDyBeCo
1.0
6.752 0.000 0.000
0.000 6.752 0.000
0.000 0.000 6.752
Tb Dy Be Co
4 4 4 4
Direct
0.000 0.000 0.000
0.000 0.500 0.500
0.500 0.000 0.500
0.500 0.500 0.000
0.000 0.000 0.500
0.000 0.500 0.000
0.500 0.000 0.000
0.500 0.500 0.500
0.250 0.250 0.250
0.250 0.750 0.750
0.750 0.250 0.750
0.750 0.750 0.250
0.250 0.250 0.750
0.250 0.750 0.250
0.750 0.250 0.250
0.750 0.750 0.750
```

## Properties
Space group: F-43m, No. 216
V, Å³ per cell: 308


| no. | final energy (eV per atom) |
| --- | --- |
| 1 | -5.5993 |
| 2 | -6.2974 |
| 3 | -4.6358 |
| 4 | -5.7367 |
| 5 | -4.3659 |
| 6 | -5.0525 |
| 7 | -5.0345 |
| 8 | -5.0481 |
| 9 | -5.1158 |
| 10 | -6.8255 |
| 11 | -6.1721 |
| 12 | -5.0341 |